# 1
A plane-wave DFT calculation with PBE-GGA was carried out for crystalline Pr3Dy4Sc2 at its relaxed geometry.

calculated volume = 31.482 Å³ per atom
DOS(E_F) = 1.4121 states/eV/atom
density = 6.8 g/cm3
DFT formation energy = 4 kJ/mol of atoms
polymorph energy (0 for the lowest one) = 0 meV per atom
uncorrected energy = -45.0 eV/f.u.

Unit cell a=16.939 b=3.516 c=9.661 alpha=90.00 beta=100.02 gamma=90.00
Space group C2/m (No. 12)
Asymmetric unit:
Pr 0.000 0.000 0.000 x2
Pr 0.158 0.000 0.590 x4
Dy 0.014 0.500 0.324 x4
Dy 0.175 0.000 0.226 x4
Sc 0.168 0.500 0.924 x4

***

# 2
A plane-wave DFT calculation with PBE-GGA was carried out for crystalline Pr8Dy2Sc at its relaxed geometry.

calculated volume = 34.534 Å³ per atom
DOS(E_F) = 1.6117 states/eV/atom
density = 6.5 g/cm3
DFT formation energy = 16 kJ/mol of atoms
polymorph energy (0 for the lowest one) = 59 meV per atom
uncorrected energy = -51.9 eV/f.u.

Unit cell a=16.771 b=6.888 c=6.725 alpha=90.00 beta=102.04 gamma=90.00
Space group C2/m (No. 12)
Asymmetric unit:
Pr 0.080 0.242 0.389 x8
Pr 0.099 0.000 0.922 x4
Pr 0.247 0.500 0.336 x4
Dy 0.184 0.500 0.815 x4
Sc 0.000 0.500 0.000 x2

***

# 3
A plane-wave DFT calculation with PBE-GGA was carried out for crystalline Pr2Dy7Sc2 at its relaxed geometry.

calculated volume = 31.650 Å³ per atom
DOS(E_F) = 1.5095 states/eV/atom
density = 7.2 g/cm3
DFT formation energy = 15 kJ/mol of atoms
uncorrected energy = -52.7 eV/f.u.

Unit cell a=10.895 b=11.447 c=6.043 alpha=90.00 beta=112.50 gamma=90.00
Space group C2/m (No. 12)
Asymmetric unit:
Pr 0.081 0.000 0.298 x4
Dy 0.000 0.500 0.500 x2
Dy 0.177 0.262 0.690 x8
Dy 0.211 0.500 0.082 x4
Sc 0.000 0.278 0.000 x4

***

# 4
A plane-wave DFT calculation with PBE-GGA was carried out for crystalline Pr8Dy4Sc at its relaxed geometry.

calculated volume = 34.301 Å³ per atom
DOS(E_F) = 1.1372 states/eV/atom
density = 6.8 g/cm3
DFT formation energy = 16 kJ/mol of atoms
uncorrected energy = -60.8 eV/f.u.

Unit cell a=7.2919 b=7.2919 c=29.0509 alpha=90.00 beta=90.00 gamma=120.00
Space group R-3m (No. 166, hexagonal axes)
Asymmetric unit:
Pr 0.0000 0.0000 0.2132 x6
Pr 0.0253 0.5126 0.7648 x18
Dy 0.0000 0.0000 0.0000 x3
Dy 0.0000 0.5000 0.0000 x9
Sc 0.0000 0.0000 0.5000 x3

***

# 5
A plane-wave DFT calculation with PBE-GGA was carried out for crystalline Pr7Dy4Sc at its relaxed geometry.

calculated volume = 33.687 Å³ per atom
DOS(E_F) = 1.5409 states/eV/atom
density = 6.9 g/cm3
DFT formation energy = 2 kJ/mol of atoms
uncorrected energy = -57.9 eV/f.u.

Unit cell a=6.304 b=6.304 c=11.937 alpha=79.70 beta=84.99 gamma=60.01
Space group P1 (No. 1)
Asymmetric unit:
Pr 0.000 0.000 0.000 x1
Pr 0.001 0.831 0.494 x1
Pr 0.327 0.326 0.000 x1
Pr 0.330 0.751 0.747 x1
Pr 0.658 0.255 0.250 x1
Pr 0.662 0.084 0.745 x1
Pr 0.991 0.583 0.250 x1
Dy 0.324 0.164 0.495 x1
Dy 0.658 0.506 0.495 x1
Dy 0.659 0.669 0.998 x1
Dy 0.994 0.416 0.747 x1
Sc 0.331 0.914 0.251 x1

***

# 6
A plane-wave DFT calculation with PBE-GGA was carried out for crystalline Pr4Dy3Sc at its relaxed geometry.

calculated volume = 33.562 Å³ per atom
DOS(E_F) = 1.5652 states/eV/atom
density = 6.8 g/cm3
DFT formation energy = 15 kJ/mol of atoms
polymorph energy (0 for the lowest one) = 121 meV per atom
uncorrected energy = -38.0 eV/f.u.

Unit cell a=26.686 b=5.494 c=3.698 alpha=90.00 beta=97.94 gamma=90.00
Space group C2/m (No. 12)
Asymmetric unit:
Pr 0.095 0.000 0.094 x4
Pr 0.219 0.000 0.221 x4
Dy 0.000 0.500 0.000 x2
Dy 0.138 0.500 0.638 x4
Sc 0.000 0.000 0.500 x2

***

# 7
A plane-wave DFT calculation with PBE-GGA was carried out for crystalline PrDy9Sc2 at its relaxed geometry.

calculated volume = 30.641 Å³ per atom
DOS(E_F) = 1.5532 states/eV/atom
density = 7.6 g/cm3
DFT formation energy = 4 kJ/mol of atoms
polymorph energy (0 for the lowest one) = 8 meV per atom
uncorrected energy = -58.4 eV/f.u.

Unit cell a=4.971 b=4.971 c=14.879 alpha=90.00 beta=90.00 gamma=90.00
Space group P4/mmm (No. 123)
Asymmetric unit:
Pr 0.000 0.000 0.000 x1
Dy 0.000 0.500 0.174 x4
Dy 0.000 0.500 0.500 x2
Dy 0.500 0.500 0.000 x1
Dy 0.500 0.500 0.338 x2
Sc 0.000 0.000 0.337 x2

***

# 8
A plane-wave DFT calculation with PBE-GGA was carried out for crystalline PrDy4Sc3 at its relaxed geometry.

calculated volume = 29.512 Å³ per atom
DOS(E_F) = 1.6592 states/eV/atom
density = 6.5 g/cm3
DFT formation energy = 4 kJ/mol of atoms
polymorph energy (0 for the lowest one) = 0 meV per atom
uncorrected energy = -41.9 eV/f.u.

Unit cell a=10.985 b=7.070 c=6.080 alpha=90.00 beta=90.00 gamma=90.00
Space group Pmn2_1 (No. 31)
Asymmetric unit:
Pr 0.000 0.118 0.000 x2
Dy 0.000 0.370 0.497 x2
Dy 0.000 0.632 0.991 x2
Dy 0.245 0.631 0.336 x4
Sc 0.000 0.877 0.502 x2
Sc 0.249 0.120 0.329 x4

***

# 9
A plane-wave DFT calculation with PBE-GGA was carried out for crystalline Pr4Dy5Sc at its relaxed geometry.

calculated volume = 32.769 Å³ per atom
DOS(E_F) = 1.9442 states/eV/atom
density = 7.2 g/cm3
DFT formation energy = 11 kJ/mol of atoms
polymorph energy (0 for the lowest one) = 0 meV per atom
uncorrected energy = -47.3 eV/f.u.

Unit cell a=4.166 b=4.166 c=18.882 alpha=90.00 beta=90.00 gamma=90.00
Space group P4/mmm (No. 123)
Asymmetric unit:
Pr 0.000 0.000 0.103 x2
Pr 0.000 0.000 0.303 x2
Dy 0.500 0.500 0.000 x1
Dy 0.500 0.500 0.203 x2
Dy 0.500 0.500 0.409 x2
Sc 0.000 0.000 0.500 x1

***

# 10
A plane-wave DFT calculation with PBE-GGA was carried out for crystalline PrDy3Sc7 at its relaxed geometry.

calculated volume = 28.144 Å³ per atom
DOS(E_F) = 1.5885 states/eV/atom
density = 5.1 g/cm3
DFT formation energy = 27 kJ/mol of atoms
uncorrected energy = -59.8 eV/f.u.

Unit cell a=12.049 b=10.534 c=5.470 alpha=90.00 beta=116.89 gamma=90.00
Space group C2/m (No. 12)
Asymmetric unit:
Pr 0.000 0.000 0.000 x2
Dy 0.000 0.291 0.500 x4
Dy 0.000 0.500 0.000 x2
Sc 0.000 0.000 0.500 x2
Sc 0.206 0.500 0.706 x4
Sc 0.219 0.310 0.219 x8

***

# 11
A plane-wave DFT calculation with PBE-GGA was carried out for crystalline Pr11Dy9Sc4 at its relaxed geometry.

calculated volume = 32.733 Å³ per atom
DOS(E_F) = 1.2973 states/eV/atom
density = 6.7 g/cm3
DFT formation energy = 5 kJ/mol of atoms
uncorrected energy = -118.0 eV/f.u.

Unit cell a=16.948 b=25.636 c=3.616 alpha=90.00 beta=90.00 gamma=90.00
Space group Cmmm (No. 65)
Asymmetric unit:
Pr 0.000 0.000 0.000 x2
Pr 0.000 0.160 0.000 x4
Pr 0.000 0.371 0.000 x4
Pr 0.201 0.500 0.000 x4
Pr 0.226 0.180 0.000 x8
Dy 0.000 0.500 0.500 x2
Dy 0.102 0.269 0.500 x8
Dy 0.145 0.072 0.500 x8
Sc 0.157 0.398 0.500 x8

***

# 12
A plane-wave DFT calculation with PBE-GGA was carried out for crystalline PrDy8Sc3 at its relaxed geometry.

calculated volume = 33.145 Å³ per atom
DOS(E_F) = 1.6464 states/eV/atom
density = 6.6 g/cm3
DFT formation energy = 38 kJ/mol of atoms
uncorrected energy = -55.8 eV/f.u.

Unit cell a=6.418 b=10.936 c=11.334 alpha=90.00 beta=90.00 gamma=90.00
Space group Immm (No. 71)
Asymmetric unit:
Pr 0.000 0.000 0.000 x2
Dy 0.000 0.165 0.253 x8
Dy 0.233 0.280 0.000 x8
Sc 0.000 0.000 0.500 x2
Sc 0.000 0.500 0.212 x4